A geometry-optimized Co2SiRhS structure. Source: Alexandria via LeMat-Bulk, functional PBEsol.

ΔE_f (raw) in eV/f.u.: 5.50
Magnetic moment in μB/cell: 5.0
Volume in Å³ per atom: 18.181

a b c (Å): 4.547 4.547 4.397
angles (deg): 90.00 90.00 90.00
Fractional positions:
1 Co 0.000 0.500 0.000
2 Co 0.500 0.000 0.000
3 Si 0.000 0.000 0.500
4 Rh 0.000 0.000 0.000
5 S 0.500 0.500 0.500



A geometry-optimized HfBiSe2Br structure. Source: Alexandria via LeMat-Bulk, functional PBEsol.

ΔE_f (raw) in eV/f.u.: -2.17
Magnetic moment in μB/cell: 0.0
Volume in Å³ per atom: 26.844

a b c (Å): 5.138 5.138 5.085
angles (deg): 90.00 90.00 90.00
Fractional positions:
1 Hf 0.000 0.000 0.000
2 Bi 0.500 0.500 0.500
3 Se 0.000 0.500 0.000
4 Se 0.500 0.000 0.000
5 Br 0.000 0.000 0.500



A geometry-optimized MgCdHg2 structure. Source: Alexandria via LeMat-Bulk, functional PBEsol.

Energy of formation in meV/atom: -137
Magnetic moment in μB/cell: 0.0
Volume in Å³ per atom: 21.517

a b c (Å): 3.443 4.637 5.473
angles (deg): 90.00 99.98 90.00
Fractional positions:
1 Mg 0.000 0.000 0.000
2 Cd 0.838 0.500 0.380
3 Hg 0.357 0.000 0.518
4 Hg 0.477 0.500 0.869



A geometry-optimized Al2GaP3O12 structure. Source: Alexandria via LeMat-Bulk, functional PBEsol.

ΔE_f (raw) in eV/f.u.: -44.52
Magnetic moment in μB/cell: 0.0
Volume in Å³ per atom: 13.081

a b c (Å): 4.958 4.958 11.030
angles (deg): 90.65 90.65 60.29
Fractional positions:
1 Al 0.231 0.231 0.332
2 Al 0.769 0.769 0.668
3 Ga 0.698 0.302 0.000
4 P 0.227 0.232 0.833
5 P 0.701 0.299 0.500
6 P 0.768 0.773 0.167
7 O 0.073 0.505 0.216
8 O 0.112 0.476 0.732
9 O 0.329 0.353 0.943
10 O 0.390 0.351 0.449
11 O 0.495 0.927 0.784
12 O 0.524 0.888 0.268
13 O 0.647 0.671 0.057
14 O 0.649 0.610 0.551
15 O 0.819 0.059 0.602
16 O 0.833 0.033 0.127
17 O 0.941 0.181 0.398
18 O 0.967 0.167 0.873